# Tm12PuSc5 GGA-PBE optimized geometry
# * calculated total energy: -5.483 eV/atom
data_Tm12PuSc5
_chemical_formula_sum 'Tm24 Pu2 Sc10'
_space_group_name_H-M_alt 'C m m m'
_space_group_IT_number 65
_space_group_name_Hall '-C 2 2'
_cell_length_a 4.8506
_cell_length_b 14.5447
_cell_length_c 14.3702
_cell_angle_alpha 90.00
_cell_angle_beta 90.00
_cell_angle_gamma 90.00
loop_
_atom_site_label
_atom_site_fract_x
_atom_site_fract_y
_atom_site_fract_z
Tm1 0.0000 0.0000 0.1616
Tm2 0.0000 0.1663 0.3376
Tm3 0.0000 0.3326 0.1620
Tm4 0.0000 0.5000 0.3365
Pu1 0.0000 0.0000 0.5000
Sc1 0.0000 0.1666 0.0000
Sc2 0.0000 0.3348 0.5000
Sc3 0.0000 0.5000 0.0000